[1]
This record from Alexandria via LeMat-Bulk describes a crystal of Cr2Te3 relaxed with PBEsol. The functional is SCAN.

Cell: 6.7625 6.7625 11.9458 Å, 90.00 90.00 120.00°
With the nearest neighbours (Å) after each atom.
Fractional coordinates of all 20 atoms:
Cr  0.0000  0.0000  0.0000  6 Te 2.69
Cr  0.0000  0.0000  0.5000  6 Te 2.69
Cr  0.3333  0.6667  0.0055  6 Te 2.68-2.75
Cr  0.3333  0.6667  0.4945  6 Te 2.68-2.75
Cr  0.3333  0.6667  0.7500  6 Te 2.71
Cr  0.6667  0.3333  0.2500  6 Te 2.71
Cr  0.6667  0.3333  0.5055  6 Te 2.68-2.75
Cr  0.6667  0.3333  0.9945  6 Te 2.68-2.75
Te  0.9995  0.3303  0.1250  4 Cr 2.68-2.75
Te  0.0005  0.3308  0.6250  4 Cr 2.68-2.75
Te  0.9995  0.6692  0.3750  4 Cr 2.68-2.75
Te  0.0005  0.6697  0.8750  4 Cr 2.68-2.75
Te  0.3303  0.9995  0.6250  4 Cr 2.68-2.75
Te  0.3303  0.3308  0.8750  4 Cr 2.68-2.75
Te  0.3308  0.0005  0.1250  4 Cr 2.68-2.75
Te  0.3308  0.3303  0.3750  4 Cr 2.68-2.75
Te  0.6692  0.9995  0.8750  4 Cr 2.68-2.75
Te  0.6692  0.6697  0.6250  4 Cr 2.68-2.75
Te  0.6697  0.0005  0.3750  4 Cr 2.68-2.75
Te  0.6697  0.6692  0.1250  4 Cr 2.68-2.75

## Properties
The total energy is -1.1093 hartree per atom. The value obtained for the density of states at the Fermi level is 3.966 states/eV per cell. The space-group type is P-31c (163).

[2]
This record from Alexandria via LeMat-Bulk describes a crystal of Cr3Te relaxed with PBEsol. The functional is SCAN.

Cell: 3.0911 3.0911 7.1890 Å, 90.00 90.00 120.00°
With the nearest neighbours (Å) after each atom.
Fractional coordinates of all 4 atoms:
Cr  0.0000  0.0000  0.0000  6 Cr 2.38
Cr  0.6667  0.3333  0.2186  3 Cr 2.38
Cr  0.6667  0.3333  0.7814  3 Cr 2.38
Te  0.0000  0.0000  0.5000  6 Cr 2.70

## Properties
The total energy is -0.8288 hartree per atom. The value obtained for the density of states at the Fermi level is 2.136 states/eV per cell. The space-group type is P-6m2 (187).

Number 1: formation energy without anion corrections -480.8 meV/atom. Number 2: formation energy without anion corrections 549.3 meV/atom.